# 1
Density functional theory data (PBE) for a relaxed Ti3GePd crystal.

Cell lengths 4.657, 4.657, 4.657 Å; angles 90.00, 90.00, 90.00 degrees
Fractional positions:
1 Ge 0.000 0.000 0.000
2 Pd 0.500 0.500 0.500
3 Ti 0.000 0.500 0.000
4 Ti 0.000 0.000 0.500
5 Ti 0.500 0.000 0.000

Output
- DFT total energy: -6.27 eV per atom
- ΔE_f: 41 kJ per mole of atoms
- Fermi-level density of states: 1.121 states/eV per atom
- Distance to the lowest polymorph of the same formula: 0.649 eV per atom
- SG: Pm-3m

=====

# 2
Density functional theory data (PBE) for a relaxed Mg2InAs2Pd5 crystal.

Cell lengths 3.807, 9.570, 9.570 Å; angles 90.00, 90.00, 90.00 degrees
Fractional positions:
1 Mg 0.000 0.669 0.169
2 Mg 0.000 0.331 0.831
3 Mg 0.000 0.169 0.331
4 Mg 0.000 0.831 0.669
5 In 0.000 0.000 0.000
6 In 0.000 0.500 0.500
7 As 0.000 0.129 0.629
8 As 0.000 0.871 0.371
9 As 0.000 0.629 0.871
10 As 0.000 0.371 0.129
11 Pd 0.500 0.196 0.087
12 Pd 0.500 0.804 0.913
13 Pd 0.500 0.087 0.804
14 Pd 0.500 0.696 0.413
15 Pd 0.500 0.913 0.196
16 Pd 0.500 0.304 0.587
17 Pd 0.500 0.587 0.696
18 Pd 0.500 0.413 0.304
19 Pd 0.500 0.500 0.000
20 Pd 0.500 0.000 0.500

Output
- DFT total energy: -4.59 eV per atom
- ΔE_f: -46 kJ per mole of atoms
- Fermi-level density of states: 0.415 states/eV per atom
- SG: P4/mbm

=====

# 3
Density functional theory data (PBE) for a relaxed AlTcHg2 crystal.

Cell lengths 2.952, 2.952, 8.731 Å; angles 90.00, 90.00, 90.00 degrees
Site moments in Bohr magnetons follow the coordinates.
Fractional positions:
1 Al 0.500 0.500 0.750  0.01
2 Hg 0.000 0.000 0.010  0.01
3 Hg 0.000 0.000 0.490  0.01
4 Tc 0.500 0.500 0.250  1.42

Output
- DFT total energy: -3.11 eV per atom
- ΔE_f: 55 kJ per mole of atoms
- Fermi-level density of states: 0.902 states/eV per atom
- SG: P4/mmm

=====

# 4
Density functional theory data (PBE) for a relaxed K2PaPt2O6 crystal.

Cell lengths 6.297, 6.297, 7.005 Å; angles 63.29, 63.29, 60.00 degrees
Site moments in Bohr magnetons follow the coordinates.
Fractional positions:
1 K 0.789 0.789 0.634  0.00
2 K 0.211 0.211 0.366  0.00
3 Pa 0.000 0.000 0.000  0.16
4 Pt 0.409 0.409 0.772  0.35
5 Pt 0.591 0.591 0.228  0.35
6 O 0.769 0.769 0.232  0.05
7 O 0.231 0.769 0.232  0.05
8 O 0.769 0.231 0.232  0.05
9 O 0.231 0.769 0.768  0.05
10 O 0.769 0.231 0.768  0.05
11 O 0.231 0.231 0.768  0.05

Output
- Raw formation energy: -1494 meV per atom
- DFT total energy: -6.36 eV per atom
- Fermi-level density of states: 0.760 states/eV per atom
- SG: R-3m

=====

# 5
Density functional theory data (PBE) for a relaxed AcMnSi2Mo crystal.

Cell lengths 4.153, 4.153, 6.366 Å; angles 109.04, 109.04, 90.00 degrees
Site moments in Bohr magnetons follow the coordinates.
Fractional positions:
1 Ac 0.000 0.000 0.000  -0.08
2 Mn 0.750 0.250 0.500  2.78
3 Si 0.627 0.627 0.253  -0.04
4 Si 0.373 0.373 0.747  -0.04
5 Mo 0.250 0.750 0.500  -0.19

Output
- Raw formation energy: -390 meV per atom
- DFT total energy: -7.38 eV per atom
- Fermi-level density of states: 0.676 states/eV per atom
- SG: I-4m2

=====

# 6
Density functional theory data (PBE) for a relaxed LiDy2ThTl4 crystal.

Cell lengths 5.267, 5.267, 9.502 Å; angles 73.91, 73.91, 60.00 degrees
Fractional positions:
1 Li 0.500 0.500 0.500
2 Dy 0.754 0.754 0.737
3 Dy 0.246 0.246 0.263
4 Th 0.000 0.000 0.000
5 Tl 0.380 0.380 0.861
6 Tl 0.871 0.871 0.387
7 Tl 0.129 0.129 0.613
8 Tl 0.620 0.620 0.139

Output
- DFT total energy: -3.76 eV per atom
- ΔE_f: -25 kJ per mole of atoms
- Fermi-level density of states: 0.510 states/eV per atom
- SG: R-3m

=====

> Which value of Fermi-level density of states does entry 3 give?

0.902 states/eV per atom